Record 1
The following is a GGA-PBEsol calculation of a relaxed structure of CaZr2Cu, from Alexandria via LeMat-Bulk.

a = 4.866 Å, b = 4.866 Å, c = 4.866 Å
α = 60.00°, β = 60.00°, γ = 60.00°
Atoms (fractional coordinates):
Ca 0.000 0.000 0.000
Zr 0.250 0.250 0.250
Zr 0.750 0.750 0.750
Cu 0.500 0.500 0.500

Values from the calculation:
The symmetry is Fm-3m, No. 225. As for the volume: 20.36 Å³/atom. For the energy of formation from the pure elements, the calculation gives 0.4702 eV/atom.


Record 2
The following is a GGA-PBEsol calculation of a relaxed structure of Zr2RhBr, from Alexandria via LeMat-Bulk.

a = 4.891 Å, b = 4.891 Å, c = 3.158 Å
α = 97.23°, β = 97.23°, γ = 98.80°
Atoms (fractional coordinates):
Zr 0.000 0.500 0.000
Zr 0.500 0.000 0.000
Rh 0.000 0.000 0.500
Br 0.500 0.500 0.500

Values from the calculation:
As for the uncorrected formation energy: -0.405 eV per atom. The symmetry is C2/m, No. 12. As for the volume: 18.31 Å³/atom.


Record 3
The following is a GGA-PBEsol calculation of a relaxed structure of KBeSi3, from Alexandria via LeMat-Bulk.

a = 5.203 Å, b = 5.203 Å, c = 5.203 Å
α = 90.00°, β = 90.00°, γ = 90.00°
Atoms (fractional coordinates):
K 0.000 0.000 0.000
Be 0.500 0.500 0.500
Si 0.000 0.000 0.500
Si 0.000 0.500 0.000
Si 0.500 0.000 0.000

Values from the calculation:
As for the uncorrected formation energy: 2.547 eV per atom. The symmetry is Pm-3m, No. 221. As for the volume: 28.17 Å³/atom.


Record 4
The following is a GGA-PBEsol calculation of a relaxed structure of Fe2AgH, from Alexandria via LeMat-Bulk.

a = 4.059 Å, b = 4.059 Å, c = 4.059 Å
α = 60.00°, β = 60.00°, γ = 60.00°
Atoms (fractional coordinates):
Fe 0.250 0.250 0.250
Fe 0.750 0.750 0.750
Ag 0.000 0.000 0.000
H 0.500 0.500 0.500

Values from the calculation:
The symmetry is Fm-3m, No. 225. As for the volume: 11.82 Å³/atom. Its total energy is -5.15 eV/atom.


Record 5
The following is a GGA-PBEsol calculation of a relaxed structure of Mg3In5, from Alexandria via LeMat-Bulk.

a = 8.638 Å, b = 8.638 Å, c = 8.638 Å
α = 96.53°, β = 96.53°, γ = 140.60°
Atoms (fractional coordinates):
Mg 0.180 0.680 0.859
Mg 0.250 0.250 0.000
Mg 0.320 0.180 0.500
Mg 0.680 0.820 0.500
Mg 0.750 0.750 0.000
Mg 0.820 0.320 0.141
In 0.066 0.235 0.301
In 0.235 0.934 0.169
In 0.250 0.750 0.500
In 0.265 0.434 0.699
In 0.434 0.735 0.169
In 0.566 0.265 0.831
In 0.735 0.566 0.301
In 0.750 0.250 0.500
In 0.765 0.066 0.831
In 0.934 0.765 0.699

Values from the calculation:
The symmetry is I4/mcm, No. 140. As for the volume: 24.07 Å³/atom. For the energy of formation from the pure elements, the calculation gives -0.0335 eV/atom.


Record 6
The following is a GGA-PBEsol calculation of a relaxed structure of Rb3ScBe, from Alexandria via LeMat-Bulk.

a = 7.109 Å, b = 7.109 Å, c = 7.109 Å
α = 90.00°, β = 90.00°, γ = 90.00°
Atoms (fractional coordinates):
Rb 0.000 0.000 0.500
Rb 0.000 0.500 0.000
Rb 0.500 0.000 0.000
Sc 0.000 0.000 0.000
Be 0.500 0.500 0.500

Values from the calculation:
The symmetry is Pm-3m, No. 221. As for the volume: 71.86 Å³/atom. For the energy of formation from the pure elements, the calculation gives 1.4334 eV/atom.


Record 7
The following is a GGA-PBEsol calculation of a relaxed structure of KReSe, from Alexandria via LeMat-Bulk.

a = 4.988 Å, b = 4.988 Å, c = 2.694 Å
α = 90.00°, β = 90.00°, γ = 120.00°
Atoms (fractional coordinates):
K 0.000 0.000 0.000
Re 0.333 0.667 0.500
Se 0.667 0.333 0.500

Values from the calculation:
As for the uncorrected formation energy: 1.095 eV per atom. The symmetry is P-6m2, No. 187. As for the volume: 19.35 Å³/atom.


Record 8
The following is a GGA-PBEsol calculation of a relaxed structure of MnZnIr2, from Alexandria via LeMat-Bulk.

a = 4.492 Å, b = 4.492 Å, c = 4.697 Å
α = 100.35°, β = 100.35°, γ = 35.24°
Atoms (fractional coordinates):
Mn 0.000 0.000 0.000
Zn 0.500 0.500 0.500
Ir 0.254 0.254 0.755
Ir 0.746 0.746 0.245

Values from the calculation:
The symmetry is C2/m, No. 12. As for the volume: 13.43 Å³/atom. For the energy of formation from the pure elements, the calculation gives -0.0931 eV/atom.


Record 9
The following is a GGA-PBEsol calculation of a relaxed structure of SrScPIr2, from Alexandria via LeMat-Bulk.

a = 4.538 Å, b = 4.538 Å, c = 4.765 Å
α = 90.00°, β = 90.00°, γ = 90.00°
Atoms (fractional coordinates):
Sr 0.000 0.000 0.000
Sc 0.500 0.500 0.000
P 0.500 0.500 0.500
Ir 0.000 0.500 0.500
Ir 0.500 0.000 0.500

Values from the calculation:
The symmetry is P4/mmm, No. 123. As for the volume: 19.62 Å³/atom. For the energy of formation from the pure elements, the calculation gives -0.1570 eV/atom.


Record 10
The following is a GGA-PBEsol calculation of a relaxed structure of Si2AgRh, from Alexandria via LeMat-Bulk.

a = 6.397 Å, b = 6.397 Å, c = 6.397 Å
α = 155.49°, β = 145.35°, γ = 42.91°
Atoms (fractional coordinates):
Si 0.000 0.000 0.000
Si 0.724 0.224 0.500
Ag 0.333 0.833 0.500
Rh 0.553 0.553 0.000

Values from the calculation:
As for the uncorrected formation energy: -0.201 eV per atom. The symmetry is Imm2, No. 44. As for the volume: 15.41 Å³/atom.


Record 11
The following is a GGA-PBEsol calculation of a relaxed structure of LaEuPd2, from Alexandria via LeMat-Bulk.

a = 5.055 Å, b = 5.055 Å, c = 5.055 Å
α = 60.00°, β = 60.00°, γ = 60.00°
Atoms (fractional coordinates):
La 0.000 0.000 0.000
Eu 0.500 0.500 0.500
Pd 0.250 0.250 0.250
Pd 0.750 0.750 0.750

Values from the calculation:
The symmetry is Fm-3m, No. 225. As for the volume: 22.84 Å³/atom. For the energy of formation from the pure elements, the calculation gives -0.6950 eV/atom.


Record 12
The following is a GGA-PBEsol calculation of a relaxed structure of TcNiPCl2, from Alexandria via LeMat-Bulk.

a = 4.308 Å, b = 4.308 Å, c = 4.838 Å
α = 90.00°, β = 90.00°, γ = 90.00°
Atoms (fractional coordinates):
Tc 0.000 0.000 0.000
Ni 0.500 0.500 0.500
P 0.500 0.500 0.000
Cl 0.000 0.500 0.500
Cl 0.500 0.000 0.500

Values from the calculation:
As for the uncorrected formation energy: 0.734 eV per atom. The symmetry is P4/mmm, No. 123. As for the volume: 17.96 Å³/atom.


Record 13
The following is a GGA-PBEsol calculation of a relaxed structure of MgAgIO2, from Alexandria via LeMat-Bulk.

a = 3.954 Å, b = 3.954 Å, c = 6.153 Å
α = 90.00°, β = 90.00°, γ = 90.00°
Atoms (fractional coordinates):
Mg 0.000 0.000 0.000
Ag 0.500 0.500 0.500
I 0.000 0.000 0.500
O 0.000 0.500 0.000
O 0.500 0.000 0.000

Values from the calculation:
As for the uncorrected formation energy: -0.410 eV per atom. The symmetry is P4/mmm, No. 123. As for the volume: 19.24 Å³/atom.